Computed, not measured: a relaxed KPu2TcO8 crystal at the PBE-GGA level of DFT.

a = 5.0146 Å, b = 5.0238 Å, c = 6.9738 Å
α = 87.54°, β = 87.48°, γ = 87.91°
Sites, in units of the cell vectors:
1 K 0.0000 0.0000 0.0000
2 Pu 0.4861 0.4862 0.2547
3 Pu 0.5139 0.5138 0.7453
4 Tc 0.0000 0.0000 0.5000
5 O 0.1856 0.7922 0.6927
6 O 0.2099 0.8163 0.3068
7 O 0.2887 0.2904 0.4970
8 O 0.3350 0.3384 0.9806
9 O 0.6650 0.6616 0.0194
10 O 0.7113 0.7096 0.5030
11 O 0.7901 0.1837 0.6932
12 O 0.8144 0.2078 0.3073

**Formation energy from raw total energies**: -25.745 eV/f.u.
**Magnetic moment**: 8.005 μB/f.u.


Computed, not measured: a relaxed PdRuPt crystal at the PBE-GGA level of DFT.

a = 6.1893 Å, b = 6.1893 Å, c = 6.1893 Å
α = 154.20°, β = 154.20°, γ = 36.80°
Sites, in units of the cell vectors:
1 Pd 0.0000 0.0000 0.0000
2 Ru 0.6626 0.6626 0.0000
3 Pt 0.3220 0.3220 0.0000

**ΔE_f**: 74 meV/atom
**Magnetic moment**: 0.000 μB/f.u.


Computed, not measured: a relaxed Sc2BiSe2 crystal at the PBE-GGA level of DFT.

a = 7.5298 Å, b = 7.5298 Å, c = 7.5298 Å
α = 147.58°, β = 147.58°, γ = 46.50°
Sites, in units of the cell vectors:
1 Sc 0.1249 0.1249 0.0000
2 Sc 0.8751 0.8751 0.0000
3 Bi 0.5000 0.5000 0.0000
4 Se 0.2500 0.7500 0.5000
5 Se 0.7500 0.2500 0.5000

**Formation energy from raw total energies**: -4.233 eV/f.u.
**Magnetic moment**: 0.000 μB/f.u.


Computed, not measured: a relaxed NaZnMoS2 crystal at the PBE-GGA level of DFT.

a = 4.8525 Å, b = 4.8525 Å, c = 4.8957 Å
α = 90.00°, β = 90.00°, γ = 90.00°
Sites, in units of the cell vectors:
1 Na 0.0000 0.0000 0.0000
2 Zn 0.5000 0.5000 0.5000
3 Mo 0.5000 0.5000 0.0000
4 S 0.0000 0.5000 0.5000
5 S 0.5000 0.0000 0.5000

**Formation energy from raw total energies**: 3.647 eV/f.u.
**Magnetic moment**: 3.997 μB/f.u.


Computed, not measured: a relaxed TbPd crystal at the PBE-GGA level of DFT.

a = 6.9815 Å, b = 4.6406 Å, c = 5.5847 Å
α = 90.00°, β = 90.00°, γ = 90.00°
Sites, in units of the cell vectors:
1 Tb 0.1826 0.2500 0.1426
2 Tb 0.3174 0.7500 0.6426
3 Tb 0.6826 0.2500 0.3574
4 Tb 0.8174 0.7500 0.8574
5 Pd 0.0418 0.2500 0.6536
6 Pd 0.4582 0.7500 0.1536
7 Pd 0.5418 0.2500 0.8464
8 Pd 0.9582 0.7500 0.3464

**ΔE_f**: -913 meV/atom
**Magnetic moment**: 0.000 μB/f.u.


Computed, not measured: a relaxed BaC2ClO crystal at the PBE-GGA level of DFT.

a = 5.9898 Å, b = 5.9898 Å, c = 5.8467 Å
α = 90.00°, β = 90.00°, γ = 90.00°
Sites, in units of the cell vectors:
1 Ba 0.0000 0.0000 0.0000
2 C 0.0000 0.5000 0.0000
3 C 0.5000 0.0000 0.0000
4 Cl 0.0000 0.0000 0.5000
5 O 0.5000 0.5000 0.5000

**Formation energy from raw total energies**: 11.845 eV/f.u.
**Magnetic moment**: 3.000 μB/f.u.